VASP calculation (PBE-GGA) on crystalline TlGaS6 at its relaxed geometry.

## Properties
Its size of the total moment is 0.0 μB per formula unit. For the uncorrected formation energy, the calculation gives -52 meV per atom.

Cell: 5.579 5.749 7.094 Å, 90.22 95.10 101.93°
Sites, in units of the cell vectors:
Tl (0.000, 0.000, 0.000)
Ga (0.000, 0.500, 0.500)
S (0.193, 0.179, 0.574)
S (0.291, 0.702, 0.738)
S (0.421, 0.390, 0.791)
S (0.579, 0.610, 0.209)
S (0.709, 0.298, 0.262)
S (0.807, 0.821, 0.426)

VASP calculation (PBE-GGA) on crystalline ReRu2Cl at its relaxed geometry.

## Properties
As for the excess energy over the best structure of this formula in the dataset: 309 meV per atom. Its size of the total moment is 0.0 μB per formula unit. The calculation puts the density of states at the Fermi level at 4.23 states/eV per cell. For the uncorrected formation energy, the calculation gives 610 meV per atom.

Cell: 2.841 3.959 5.307 Å, 90.00 104.57 90.00°
Sites, in units of the cell vectors:
Re (0.000, 0.000, 0.000)
Ru (0.371, 0.500, 0.747)
Ru (0.629, 0.500, 0.253)
Cl (0.000, 0.000, 0.500)

VASP calculation (PBE-GGA) on crystalline PuPaSe2 at its relaxed geometry.

## Properties
As for the excess energy over the best structure of this formula in the dataset: 159 meV per atom. Its size of the total moment is 7.7 μB per formula unit. The calculation puts the density of states at the Fermi level at 20.61 states/eV per cell. For the uncorrected formation energy, the calculation gives -1200 meV per atom.

Cell: 7.886 3.831 6.596 Å, 90.00 90.00 90.00°
Sites, in units of the cell vectors:
Pu (0.000, 0.000, 0.000)
Pu (0.500, 0.000, 0.000)
Pa (0.000, 0.500, 0.500)
Pa (0.500, 0.500, 0.500)
Se (0.250, 0.000, 0.339)
Se (0.250, 0.500, 0.831)
Se (0.750, 0.000, 0.661)
Se (0.750, 0.500, 0.169)

VASP calculation (PBE-GGA) on crystalline Pm3Y2Er8 at its relaxed geometry.

## Properties
As for the excess energy over the best structure of this formula in the dataset: 15 meV per atom. The formation energy comes out at 0.25 eV per atom. Its size of the total moment is 0.0 μB per formula unit. The calculation puts the density of states at the Fermi level at 23.04 states/eV per cell.

Cell: 10.755 10.755 5.599 Å, 90.05 90.05 41.80°
Sites, in units of the cell vectors:
Pm (0.000, 0.000, 0.000)
Pm (0.291, 0.709, 0.500)
Pm (0.709, 0.291, 0.500)
Y (0.241, 0.241, 0.999)
Y (0.759, 0.759, 0.001)
Er (0.134, 0.134, 0.500)
Er (0.182, 0.600, 0.000)
Er (0.331, 0.331, 0.499)
Er (0.400, 0.818, 0.000)
Er (0.600, 0.182, 0.000)
Er (0.669, 0.669, 0.501)
Er (0.818, 0.400, 0.000)
Er (0.866, 0.866, 0.500)

VASP calculation (PBE-GGA) on crystalline TmU4P5 at its relaxed geometry.

## Properties
The formation energy comes out at -1.09 eV per atom. Its size of the total moment is 8.7 μB per formula unit. The calculation puts the density of states at the Fermi level at 21.94 states/eV per cell.

Cell: 10.467 10.467 10.467 Å, 158.41 149.21 37.92°
Sites, in units of the cell vectors:
Tm (0.000, 0.000, 0.000)
U (0.201, 0.201, 0.000)
U (0.400, 0.400, 0.000)
U (0.600, 0.600, 0.000)
U (0.799, 0.799, 0.000)
P (0.100, 0.600, 0.500)
P (0.301, 0.801, 0.500)
P (0.500, 0.000, 0.500)
P (0.699, 0.199, 0.500)
P (0.900, 0.400, 0.500)

VASP calculation (PBE-GGA) on crystalline PdSeS2 at its relaxed geometry.

## Properties
Its size of the total moment is 0.0 μB per formula unit. The calculation puts the density of states at the Fermi level at 6.41 states/eV per cell. For the uncorrected formation energy, the calculation gives -13 meV per atom.

Cell: 3.668 3.668 21.668 Å, 90.00 90.00 120.00°
Sites, in units of the cell vectors:
Pd (0.000, 0.000, 0.000)
Pd (0.333, 0.667, 0.667)
Pd (0.667, 0.333, 0.333)
Se (0.000, 0.000, 0.500)
Se (0.333, 0.667, 0.167)
Se (0.667, 0.333, 0.833)
S (0.000, 0.000, 0.391)
S (0.000, 0.000, 0.609)
S (0.333, 0.667, 0.057)
S (0.333, 0.667, 0.276)
S (0.667, 0.333, 0.724)
S (0.667, 0.333, 0.943)

VASP calculation (PBE-GGA) on crystalline BePAu at its relaxed geometry.

## Properties
The formation energy comes out at 0.22 eV per atom. Its size of the total moment is 0.0 μB per formula unit. The calculation puts the density of states at the Fermi level at 1.16 states/eV per cell.

Cell: 2.869 2.869 6.268 Å, 90.00 90.00 120.00°
Sites, in units of the cell vectors:
Be (0.000, 0.000, 0.000)
P (0.333, 0.667, 0.243)
Au (0.667, 0.333, 0.702)

VASP calculation (PBE-GGA) on crystalline LiTlPbBr4 at its relaxed geometry.

## Properties
Its size of the total moment is 0.0 μB per formula unit. The calculation puts the density of states at the Fermi level at 0.00 states/eV per cell. For the uncorrected formation energy, the calculation gives -1054 meV per atom.

Cell: 7.203 7.546 9.012 Å, 90.00 108.06 90.00°
Sites, in units of the cell vectors:
Li (0.234, 0.250, 0.314)
Li (0.766, 0.750, 0.686)
Tl (0.249, 0.750, 0.060)
Tl (0.751, 0.250, 0.940)
Pb (0.221, 0.750, 0.553)
Pb (0.779, 0.250, 0.447)
Br (0.006, 0.002, 0.726)
Br (0.006, 0.498, 0.726)
Br (0.447, 0.250, 0.143)
Br (0.454, 0.250, 0.590)
Br (0.546, 0.750, 0.410)
Br (0.553, 0.750, 0.857)
Br (0.994, 0.502, 0.274)
Br (0.994, 0.998, 0.274)

VASP calculation (PBE-GGA) on crystalline KSn6Bi2 at its relaxed geometry.

## Properties
As for the excess energy over the best structure of this formula in the dataset: 0 meV per atom. The formation energy comes out at -0.01 eV per atom. Its size of the total moment is 0.0 μB per formula unit. The calculation puts the density of states at the Fermi level at 4.75 states/eV per cell.

Cell: 5.380 5.380 10.490 Å, 90.00 90.00 90.00°
Sites, in units of the cell vectors:
K (0.000, 0.000, 0.000)
Sn (0.000, 0.000, 0.500)
Sn (0.000, 0.500, 0.321)
Sn (0.000, 0.500, 0.679)
Sn (0.500, 0.000, 0.321)
Sn (0.500, 0.000, 0.679)
Sn (0.500, 0.500, 0.500)
Bi (0.500, 0.500, 0.153)
Bi (0.500, 0.500, 0.847)

VASP calculation (PBE-GGA) on crystalline NiPIr at its relaxed geometry.

## Properties
The formation energy comes out at -0.12 eV per atom. Its size of the total moment is 0.0 μB per formula unit. The calculation puts the density of states at the Fermi level at 1.77 states/eV per cell.

Cell: 2.823 2.823 5.572 Å, 90.00 90.00 120.00°
Sites, in units of the cell vectors:
Ni (0.000, 0.000, 0.000)
P (0.667, 0.333, 0.282)
Ir (0.333, 0.667, 0.606)

VASP calculation (PBE-GGA) on crystalline Ho8ZnTe4S3 at its relaxed geometry.

## Properties
Its size of the total moment is 0.0 μB per formula unit. The calculation puts the density of states at the Fermi level at 8.60 states/eV per cell. For the uncorrected formation energy, the calculation gives -1417 meV per atom.

Cell: 8.422 8.422 8.422 Å, 58.11 58.11 58.11°
Sites, in units of the cell vectors:
Ho (0.235, 0.235, 0.235)
Ho (0.237, 0.738, 0.738)
Ho (0.262, 0.262, 0.763)
Ho (0.262, 0.763, 0.262)
Ho (0.738, 0.237, 0.738)
Ho (0.738, 0.738, 0.237)
Ho (0.763, 0.262, 0.262)
Ho (0.765, 0.765, 0.765)
Zn (0.500, 0.500, 0.500)
Te (0.000, 0.000, 0.000)
Te (0.000, 0.500, 0.500)
Te (0.500, 0.000, 0.500)
Te (0.500, 0.500, 0.000)
S (0.000, 0.000, 0.500)
S (0.000, 0.500, 0.000)
S (0.500, 0.000, 0.000)

VASP calculation (PBE-GGA) on crystalline PmErAg2 at its relaxed geometry.

## Properties
As for the excess energy over the best structure of this formula in the dataset: 0 meV per atom. The formation energy comes out at -0.31 eV per atom. Its size of the total moment is 0.0 μB per formula unit. The calculation puts the density of states at the Fermi level at 2.16 states/eV per cell.

Cell: 3.623 3.623 7.500 Å, 90.00 90.00 90.00°
Sites, in units of the cell vectors:
Pm (0.000, 0.000, 0.000)
Er (0.000, 0.000, 0.500)
Ag (0.500, 0.500, 0.270)
Ag (0.500, 0.500, 0.730)

VASP calculation (PBE-GGA) on crystalline TlGa2HgBr6 at its relaxed geometry.

## Properties
Its size of the total moment is 0.0 μB per formula unit. The calculation puts the density of states at the Fermi level at 5.98 states/eV per cell. For the uncorrected formation energy, the calculation gives -644 meV per atom.

Cell: 10.278 10.278 8.271 Å, 102.34 102.34 86.36°
Sites, in units of the cell vectors:
Tl (0.145, 0.855, 0.750)
Tl (0.855, 0.145, 0.250)
Ga (0.205, 0.359, 0.728)
Ga (0.359, 0.205, 0.228)
Ga (0.641, 0.795, 0.772)
Ga (0.795, 0.641, 0.272)
Hg (0.281, 0.719, 0.250)
Hg (0.719, 0.281, 0.750)
Br (0.060, 0.550, 0.769)
Br (0.073, 0.161, 0.633)
Br (0.161, 0.073, 0.133)
Br (0.340, 0.360, 0.504)
Br (0.360, 0.340, 0.004)
Br (0.450, 0.940, 0.731)
Br (0.550, 0.060, 0.269)
Br (0.640, 0.660, 0.996)
Br (0.660, 0.640, 0.496)
Br (0.839, 0.927, 0.867)
Br (0.927, 0.839, 0.367)
Br (0.940, 0.450, 0.231)

VASP calculation (PBE-GGA) on crystalline Pr4Gd2O at its relaxed geometry.

## Properties
Its size of the total moment is 15.3 μB per formula unit. The calculation puts the density of states at the Fermi level at 21.10 states/eV per cell. For the uncorrected formation energy, the calculation gives -604 meV per atom.

Cell: 5.001 5.001 17.792 Å, 90.00 90.00 90.00°
Sites, in units of the cell vectors:
Pr (0.000, 0.000, 0.141)
Pr (0.000, 0.000, 0.859)
Pr (0.000, 0.500, 0.000)
Pr (0.000, 0.500, 0.500)
Pr (0.500, 0.000, 0.000)
Pr (0.500, 0.000, 0.500)
Pr (0.500, 0.500, 0.359)
Pr (0.500, 0.500, 0.641)
Gd (0.000, 0.000, 0.343)
Gd (0.000, 0.000, 0.657)
Gd (0.500, 0.500, 0.157)
Gd (0.500, 0.500, 0.843)
O (0.000, 0.000, 0.000)
O (0.500, 0.500, 0.500)

VASP calculation (PBE-GGA) on crystalline Sm3TiTl4Te8 at its relaxed geometry.

## Properties
Its size of the total moment is 1.0 μB per formula unit. The calculation puts the density of states at the Fermi level at 6.17 states/eV per cell. For the uncorrected formation energy, the calculation gives -901 meV per atom.

Cell: 9.634 9.634 9.634 Å, 54.64 54.64 54.64°
Sites, in units of the cell vectors:
Sm (0.000, 0.500, 0.500)
Sm (0.500, 0.000, 0.500)
Sm (0.500, 0.500, 0.000)
Ti (0.000, 0.000, 0.000)
Tl (0.000, 0.000, 0.500)
Tl (0.000, 0.500, 0.000)
Tl (0.500, 0.000, 0.000)
Tl (0.500, 0.500, 0.500)
Te (0.225, 0.225, 0.759)
Te (0.225, 0.759, 0.225)
Te (0.241, 0.775, 0.775)
Te (0.259, 0.259, 0.259)
Te (0.741, 0.741, 0.741)
Te (0.759, 0.225, 0.225)
Te (0.775, 0.241, 0.775)
Te (0.775, 0.775, 0.241)

VASP calculation (PBE-GGA) on crystalline PH2Se3 at its relaxed geometry.

## Properties
Its size of the total moment is 0.0 μB per formula unit.

Cell: 6.145 6.894 8.310 Å, 102.93 99.90 110.82°
Sites, in units of the cell vectors:
P (0.225, 0.415, 0.221)
P (0.775, 0.585, 0.779)
H (0.144, 0.560, 0.319)
H (0.175, 0.472, 0.068)
H (0.825, 0.528, 0.932)
H (0.856, 0.440, 0.681)
Se (0.285, 0.941, 0.918)
Se (0.341, 0.002, 0.660)
Se (0.367, 0.360, 0.681)
Se (0.633, 0.640, 0.319)
Se (0.659, 0.998, 0.340)
Se (0.715, 0.059, 0.082)

VASP calculation (PBE-GGA) on crystalline Rb2HoInS4 at its relaxed geometry.

## Properties
Its size of the total moment is 0.0 μB per formula unit. For the uncorrected formation energy, the calculation gives -1257 meV per atom.

Cell: 8.464 8.464 8.464 Å, 120.45 120.31 89.34°
Sites, in units of the cell vectors:
Rb (0.000, 0.000, 0.000)
Rb (0.500, 0.000, 0.000)
Rb (0.500, 0.000, 0.500)
Rb (0.500, 0.500, 0.500)
Ho (0.000, 0.500, 0.500)
Ho (0.500, 0.500, 0.000)
In (0.000, 0.000, 0.500)
In (0.000, 0.500, 0.000)
S (0.192, 0.733, 0.459)
S (0.226, 0.267, 0.959)
S (0.233, 0.268, 0.536)
S (0.233, 0.697, 0.964)
S (0.767, 0.303, 0.036)
S (0.767, 0.732, 0.464)
S (0.774, 0.733, 0.041)
S (0.808, 0.267, 0.541)

VASP calculation (PBE-GGA) on crystalline HoErTmTh at its relaxed geometry.

## Properties
As for the excess energy over the best structure of this formula in the dataset: 0 meV per atom. The formation energy comes out at 0.00 eV per atom. Its size of the total moment is 0.3 μB per formula unit. The calculation puts the density of states at the Fermi level at 18.68 states/eV per cell.

Cell: 3.563 3.563 33.902 Å, 90.00 90.00 120.00°
Sites, in units of the cell vectors:
Ho (0.000, 0.000, 0.000)
Ho (0.333, 0.667, 0.667)
Ho (0.667, 0.333, 0.333)
Er (0.000, 0.000, 0.750)
Er (0.333, 0.667, 0.417)
Er (0.667, 0.333, 0.084)
Tm (0.000, 0.000, 0.582)
Tm (0.333, 0.667, 0.249)
Tm (0.667, 0.333, 0.916)
Th (0.000, 0.000, 0.166)
Th (0.333, 0.667, 0.833)
Th (0.667, 0.333, 0.499)

VASP calculation (PBE-GGA) on crystalline Mn3AlHg at its relaxed geometry.

## Properties
As for the excess energy over the best structure of this formula in the dataset: 353 meV per atom. The formation energy comes out at 1.23 eV per atom. Its size of the total moment is 12.2 μB per formula unit. The calculation puts the density of states at the Fermi level at 5.14 states/eV per cell.

Cell: 4.989 4.989 4.989 Å, 90.00 90.00 90.00°
Sites, in units of the cell vectors:
Mn (0.000, 0.000, 0.500)
Mn (0.000, 0.500, 0.000)
Mn (0.500, 0.000, 0.000)
Al (0.500, 0.500, 0.500)
Hg (0.000, 0.000, 0.000)

VASP calculation (PBE-GGA) on crystalline CsLiInI3 at its relaxed geometry.

## Properties
Its size of the total moment is 0.0 μB per formula unit. The calculation puts the density of states at the Fermi level at 0.00 states/eV per cell. For the uncorrected formation energy, the calculation gives -1065 meV per atom.

Cell: 11.003 4.904 11.093 Å, 90.00 100.82 90.00°
Sites, in units of the cell vectors:
Cs (0.170, 0.250, 0.209)
Cs (0.830, 0.750, 0.791)
Li (0.088, 0.250, 0.599)
Li (0.912, 0.750, 0.401)
In (0.354, 0.750, 0.846)
In (0.646, 0.250, 0.154)
I (0.115, 0.250, 0.849)
I (0.166, 0.750, 0.505)
I (0.421, 0.750, 0.148)
I (0.579, 0.250, 0.852)
I (0.834, 0.250, 0.495)
I (0.885, 0.750, 0.151)

no.,VASP energy (eV per atom)
1,-3.82
2,-7.60
3,-8.90
4,-4.65
5,-8.75
6,-4.25
7,-3.91
8,-3.15
9,-3.66
10,-6.81
11,-5.35
12,-4.06
13,-2.52
14,-8.07
15,-4.44
16,-3.76
17,-4.48
18,-5.25
19,-5.08
20,-2.76